An optimized crystal structure of CsKTcPd2. Source: Alexandria via LeMat-Bulk, functional GGA-PBEsol.

```
data_CsKTcPd2
_symmetry_space_group_name_H-M 'P 1'
_symmetry_Int_Tables_number 1
_symmetry_space_group_name_Hall 'P 1'
_cell_length_a 5.229
_cell_length_b 5.229
_cell_length_c 5.795
_cell_angle_alpha 90.00
_cell_angle_beta 90.00
_cell_angle_gamma 90.00
loop_
_atom_site_label
_atom_site_fract_x
_atom_site_fract_y
_atom_site_fract_z
Cs1 0.000 0.000 0.000
K1 0.000 0.000 0.500
Tc1 0.500 0.500 0.500
Pd1 0.000 0.500 0.000
Pd2 0.500 0.000 0.000
```

Output
DFT total energy (eV per cell): -15.25
Space-group type: No. 123
Energy of formation from the pure elements (eV per formula unit): 10.01